Entry a
LaNdS2: relaxed, PBE.

## Properties
* total magnetization: 0.001 Bohr magnetons per cell
* space-group type: P-3m1, No. 164

abc: 3.9923 3.9924 7.3283
angles: 90.00 90.00 120.01
With the nearest neighbours (Å) after each atom.
Positions (direct):
La1 0.0000 0.5000 0.5000  6 S 2.97
Nd1 0.0000 0.5000 0.0000  6 S 2.91-2.92
S1 0.6667 0.8334 0.7565  3 Nd 2.91-2.92, 3 La 2.97
S2 0.3333 0.1666 0.2435  3 Nd 2.91-2.92, 3 La 2.97


Entry b
LaNdS2: relaxed, PBE.

## Properties
* total magnetization: 0.000 Bohr magnetons per cell
* space-group type: R3m, No. 160

abc: 4.0324 4.0324 7.4674
angles: 74.34 74.34 60.00
With the nearest neighbours (Å) after each atom.
Positions (direct):
La1 0.4947 0.4947 0.5160  6 S 2.89-3.03
Nd1 0.6721 0.6721 0.9836  6 S 2.82-2.96
S1 0.0805 0.0805 0.7584  3 Nd 2.82, 3 La 2.89
S2 0.2527 0.2527 0.2420  3 Nd 2.96, 3 La 3.03


According to the calculations, the structures order from most to least stable as entry b, entry a.


Entry a
La3NdS6: relaxed, PBE.

## Properties
* total magnetization: 0.000 Bohr magnetons per cell
* space-group type: R-3, No. 148

abc: 8.4379 8.4379 8.4379
angles: 91.38 91.38 91.38
With the nearest neighbours (Å) after each atom.
Positions (direct):
La1 0.4355 0.9271 0.7509  6 S 2.86-2.94
La2 0.9271 0.7509 0.4355  6 S 2.86-2.94
La3 0.2491 0.5645 0.0729  6 S 2.86-2.94
La4 0.7509 0.4355 0.9271  6 S 2.86-2.94
La5 0.0729 0.2491 0.5645  6 S 2.86-2.94
La6 0.5645 0.0729 0.2491  6 S 2.86-2.94
Nd1 0.0000 0.0000 0.0000  6 S 2.84
Nd2 0.5000 0.5000 0.5000  6 S 2.80
S1 0.3141 0.9076 0.0740  1 Nd 2.84, 3 La 2.86-2.94
S2 0.0924 0.9260 0.6859  1 Nd 2.84, 3 La 2.86-2.94
S3 0.5952 0.8170 0.4651  1 Nd 2.80, 3 La 2.87-2.93
S4 0.9260 0.6859 0.0924  1 Nd 2.84, 3 La 2.86-2.94
S5 0.4651 0.5952 0.8170  1 Nd 2.80, 3 La 2.87-2.93
S6 0.1830 0.5349 0.4048  1 Nd 2.80, 3 La 2.87-2.93
S7 0.8170 0.4651 0.5952  1 Nd 2.80, 3 La 2.87-2.93
S8 0.5349 0.4048 0.1830  1 Nd 2.80, 3 La 2.87-2.93
S9 0.0740 0.3141 0.9076  1 Nd 2.84, 3 La 2.86-2.94
S10 0.4048 0.1830 0.5349  1 Nd 2.80, 3 La 2.87-2.93
S11 0.9076 0.0740 0.3141  1 Nd 2.84, 3 La 2.86-2.94
S12 0.6859 0.0924 0.9260  1 Nd 2.84, 3 La 2.86-2.94


Entry b
La3NdS6: relaxed, PBE.

## Properties
* total magnetization: 0.000 Bohr magnetons per cell
* space-group type: P2_1/m, No. 11

abc: 4.1875 11.4521 11.8050
angles: 107.22 90.00 90.00
With the nearest neighbours (Å) after each atom.
Positions (direct):
La1 0.7500 0.4286 0.8293  6 S 2.80-2.94
La2 0.2500 0.5714 0.1707  6 S 2.80-2.94
La3 0.7500 0.6841 0.5083  7 S 2.84-3.11
La4 0.2500 0.3159 0.4917  7 S 2.84-3.11
La5 0.7500 0.1621 0.0826  6 S 2.81-2.95
La6 0.2500 0.8379 0.9174  6 S 2.81-2.95
Nd1 0.7500 0.0446 0.6857  8 S 2.93-3.21
Nd2 0.2500 0.9554 0.3143  8 S 2.93-3.21
S1 0.7500 0.4735 0.6087  4 La 2.80-2.99
S2 0.2500 0.5265 0.3913  4 La 2.80-2.99
S3 0.7500 0.9168 0.1003  3 La 2.88-2.95, 2 Nd 3.21
S4 0.2500 0.0832 0.8997  3 La 2.88-2.95, 2 Nd 3.21
S5 0.7500 0.4056 0.0672  4 La 2.85-2.90
S6 0.2500 0.5944 0.9328  4 La 2.85-2.90
S7 0.7500 0.7492 0.2813  3 La 2.94-2.99, 2 Nd 3.09, 1 S 3.27
S8 0.2500 0.2508 0.7187  3 La 2.94-2.99, 2 Nd 3.09, 1 S 3.27
S9 0.7500 0.1077 0.4586  3 Nd 2.93-2.98, 2 La 3.11
S10 0.2500 0.8923 0.5414  3 Nd 2.93-2.98, 2 La 3.11
S11 0.7500 0.8162 0.7531  3 La 2.81-2.84, 1 Nd 2.95
S12 0.2500 0.1838 0.2469  3 La 2.81-2.84, 1 Nd 2.95


According to the calculations, the structures order from most to least stable as entry a, entry b.


Entry a
LaNd3Sb3: relaxed, PBE.

## Properties
* total magnetization: 0.000 Bohr magnetons per cell
* space-group type: R-3, No. 148

abc: 9.4153 9.4153 8.3402
angles: 55.64 55.64 60.00
With the nearest neighbours (Å) after each atom.
Positions (direct):
La1 0.3335 0.3335 0.9995  6 Sb 3.28-3.35
La2 0.6665 0.6665 0.0005  6 Sb 3.28-3.35
Nd1 0.3551 0.8155 0.7367  5 Sb 3.16-3.33
Nd2 0.8155 0.0927 0.7367  5 Sb 3.16-3.33
Nd3 0.0927 0.3551 0.7367  5 Sb 3.16-3.33
Nd4 0.9073 0.6449 0.2633  5 Sb 3.16-3.33
Nd5 0.1845 0.9073 0.2633  5 Sb 3.16-3.33
Nd6 0.6449 0.1845 0.2633  5 Sb 3.16-3.33
Sb1 0.2954 0.5411 0.2378  5 Nd 3.16-3.33, 2 La 3.28-3.35
Sb2 0.9258 0.2954 0.2378  5 Nd 3.16-3.33, 2 La 3.28-3.35
Sb3 0.5411 0.9258 0.2378  5 Nd 3.16-3.33, 2 La 3.28-3.35
Sb4 0.4589 0.0742 0.7622  5 Nd 3.16-3.33, 2 La 3.28-3.35
Sb5 0.0742 0.7046 0.7622  5 Nd 3.16-3.33, 2 La 3.28-3.35
Sb6 0.7046 0.4589 0.7622  5 Nd 3.16-3.33, 2 La 3.28-3.35


Entry b
LaNd3Sb3: relaxed, PBE.

## Properties
* total magnetization: 0.000 Bohr magnetons per cell
* space-group type: P2_13, No. 198

abc: 9.5677 9.5677 9.5677
angles: 90.00 90.00 90.00
With the nearest neighbours (Å) after each atom.
Positions (direct):
La1 0.0703 0.5703 0.9297  6 Sb 3.20-3.46
La2 0.9297 0.0703 0.5703  6 Sb 3.20-3.46
La3 0.4297 0.4297 0.4297  6 Sb 3.20-3.46
La4 0.5703 0.9297 0.0703  6 Sb 3.20-3.46
Nd1 0.8195 0.3195 0.1805  6 Sb 3.18-3.44
Nd2 0.9282 0.9282 0.9282  6 Sb 3.17-3.47
Nd3 0.8200 0.6800 0.3200  6 Sb 3.18-3.43
Nd4 0.1805 0.8195 0.3195  6 Sb 3.18-3.44
Nd5 0.1800 0.1800 0.1800  6 Sb 3.18-3.43
Nd6 0.3200 0.8200 0.6800  6 Sb 3.18-3.43
Nd7 0.0718 0.4282 0.5718  6 Sb 3.17-3.47
Nd8 0.3195 0.1805 0.8195  6 Sb 3.18-3.44
Nd9 0.6800 0.3200 0.8200  6 Sb 3.18-3.43
Nd10 0.6805 0.6805 0.6805  6 Sb 3.18-3.44
Nd11 0.5718 0.0718 0.4282  6 Sb 3.17-3.47
Nd12 0.4282 0.5718 0.0718  6 Sb 3.17-3.47
Sb1 0.7474 0.6223 0.0003  6 Nd 3.17-3.47, 2 La 3.20-3.46
Sb2 0.8777 0.9997 0.2474  6 Nd 3.17-3.47, 2 La 3.20-3.46
Sb3 0.0003 0.7474 0.6223  6 Nd 3.17-3.47, 2 La 3.20-3.46
Sb4 0.1223 0.4997 0.2526  6 Nd 3.17-3.47, 2 La 3.20-3.46
Sb5 0.2526 0.1223 0.4997  6 Nd 3.17-3.47, 2 La 3.20-3.46
Sb6 0.2474 0.8777 0.9997  6 Nd 3.17-3.47, 2 La 3.20-3.46
Sb7 0.9997 0.2474 0.8777  6 Nd 3.17-3.47, 2 La 3.20-3.46
Sb8 0.3777 0.5003 0.7526  6 Nd 3.17-3.47, 2 La 3.20-3.46
Sb9 0.4997 0.2526 0.1223  6 Nd 3.17-3.47, 2 La 3.20-3.46
Sb10 0.6223 0.0003 0.7474  6 Nd 3.17-3.47, 2 La 3.20-3.46
Sb11 0.7526 0.3777 0.5003  6 Nd 3.17-3.47, 2 La 3.20-3.46
Sb12 0.5003 0.7526 0.3777  6 Nd 3.17-3.47, 2 La 3.20-3.46


According to the calculations, the structures order from most to least stable as entry b, entry a.


Entry a
La2Nd6Sc: relaxed, PBE.

## Properties
* total magnetization: 0.000 Bohr magnetons per cell
* space-group type: Cmmm, No. 65

abc: 5.4989 8.4136 8.4136
angles: 55.26 90.00 90.00
With the nearest neighbours (Å) after each atom.
Positions (direct):
La1 0.5000 0.2293 0.2293  10 Nd 3.76-3.98, 2 La 3.95
La2 0.5000 0.7707 0.7707  10 Nd 3.76-3.98, 2 La 3.95
Nd1 0.0000 0.5754 0.1427  1 Sc 3.05, 2 Nd 3.29-3.38
Nd2 0.0000 0.8573 0.4246  1 Sc 3.05, 2 Nd 3.29-3.38
Nd3 0.0000 0.4246 0.8573  1 Sc 3.05, 2 Nd 3.29-3.38
Nd4 0.5000 0.7382 0.2618  2 Sc 3.43, 5 Nd 3.47-3.72
Nd5 0.0000 0.1427 0.5754  1 Sc 3.05, 2 Nd 3.29-3.38
Nd6 0.5000 0.2618 0.7382  2 Sc 3.43, 5 Nd 3.47-3.72
Sc1 0.0000 0.0000 0.0000  4 Nd 3.05


Entry b
La2Nd6Sc: relaxed, PBE.

## Properties
* total magnetization: 0.000 Bohr magnetons per cell
* space-group type: P-6m2, No. 187

abc: 3.6374 3.6374 27.2095
angles: 90.00 90.00 120.00
With the nearest neighbours (Å) after each atom.
Positions (direct):
La1 0.6667 0.3333 0.3268  6 La 3.64, 6 Nd 3.66-3.78
La2 0.6667 0.3333 0.6732  6 La 3.64, 6 Nd 3.66-3.78
Nd1 0.6667 0.3333 0.9000  3 Sc 3.44, 9 Nd 3.64-3.69
Nd2 0.3333 0.6667 0.4371  7 Nd 3.42-3.64, 3 La 3.66
Nd3 0.3333 0.6667 0.7887  9 Nd 3.64-3.69, 3 La 3.78
Nd4 0.3333 0.6667 0.2112  9 Nd 3.64-3.69, 3 La 3.78
Nd5 0.3333 0.6667 0.5629  7 Nd 3.42-3.64, 3 La 3.66
Nd6 0.6667 0.3333 0.1000  3 Sc 3.44, 9 Nd 3.64-3.69
Sc1 0.3333 0.6667 0.0000  6 Nd 3.44, 6 Sc 3.64


According to the calculations, the structures order from most to least stable as entry b, entry a.


Entry a
LaNdSc2: relaxed, PBE.

## Properties
* total magnetization: 0.000 Bohr magnetons per cell
* space-group type: R3m, No. 160

abc: 3.5032 3.5032 11.3494
angles: 81.12 81.12 60.00
With the nearest neighbours (Å) after each atom.
Positions (direct):
La1 0.6666 0.6666 0.0002  6 Sc 3.43-3.44, 6 La 3.50
Nd1 0.5003 0.5003 0.4990  6 Sc 3.45-3.47, 6 Nd 3.50
Sc1 0.0828 0.0828 0.7516  3 La 3.43, 3 Nd 3.47, 6 Sc 3.50
Sc2 0.2503 0.2503 0.2492  3 La 3.44, 3 Nd 3.45, 6 Sc 3.50


Entry b
LaNdSc2: relaxed, PBE.

## Properties
* total magnetization: 0.000 Bohr magnetons per cell
* space-group type: Cmmm, No. 65

abc: 3.6415 5.7915 5.7915
angles: 102.12 90.00 90.00
With the nearest neighbours (Å) after each atom.
Positions (direct):
La1 0.5000 0.5000 0.5000  8 Sc 3.42, 2 Nd 3.64, 2 La 3.64
Nd1 0.5000 0.0000 0.0000  8 Sc 3.42, 2 La 3.64, 2 Nd 3.64
Sc1 0.0000 0.5000 0.0000  4 La 3.42, 4 Nd 3.42, 4 Sc 3.64
Sc2 0.0000 0.0000 0.5000  4 Nd 3.42, 4 La 3.42, 4 Sc 3.64


According to the calculations, the structures order from most to least stable as entry b, entry a.


Entry a
LaNdSc2: relaxed, PBE.

## Properties
* total magnetization: 0.000 Bohr magnetons per cell
* space-group type: Fm-3m, No. 225

abc: 5.5404 5.5404 5.5404
angles: 60.00 60.00 60.00
With the nearest neighbours (Å) after each atom.
Positions (direct):
Sc1 0.2500 0.2500 0.2500  4 La 3.39, 4 Nd 3.39
Sc2 0.7500 0.7500 0.7500  4 Nd 3.39, 4 La 3.39
Nd1 0.0000 0.0000 0.0000  8 Sc 3.39
La1 0.5000 0.5000 0.5000  8 Sc 3.39


Entry b
LaNdSc2: relaxed, PBE.

## Properties
* total magnetization: 0.000 Bohr magnetons per cell
* space-group type: P4/mmm, No. 123

abc: 3.6827 3.6827 8.8342
angles: 90.00 90.00 90.00
With the nearest neighbours (Å) after each atom.
Positions (direct):
Sc1 0.0000 0.0000 0.7523  4 Nd 3.40, 4 La 3.43, 4 Sc 3.68
Sc2 0.0000 0.0000 0.2477  4 Nd 3.40, 4 La 3.43, 4 Sc 3.68
Nd1 0.5000 0.5000 0.0000  8 Sc 3.40, 4 Nd 3.68
La1 0.5000 0.5000 0.5000  8 Sc 3.43, 4 La 3.68


According to the calculations, the structures order from most to least stable as entry b, entry a.


Entry a
LaNd6Sc2: relaxed, PBE.

## Properties
* total magnetization: 0.002 Bohr magnetons per cell
* space-group type: P4_2/mnm, No. 136

abc: 8.1057 8.1057 10.4034
angles: 90.00 90.00 90.00
With the nearest neighbours (Å) after each atom.
Positions (direct):
La1 0.5000 0.5000 0.0000  6 Nd 3.06-3.29
La2 0.0000 0.0000 0.5000  6 Nd 3.06-3.29
Nd1 0.7426 0.7426 0.1696  2 Sc 2.95-3.28, 1 La 3.29
Nd2 0.7426 0.7426 0.8304  2 Sc 2.95-3.28, 1 La 3.29
Nd3 0.7330 0.7330 0.5000  1 La 3.06, 2 Sc 3.16
Nd4 0.7670 0.2330 0.0000  1 La 3.06, 2 Sc 3.16
Nd5 0.7574 0.2426 0.3304  2 Sc 2.95-3.28, 1 La 3.29
Nd6 0.7574 0.2426 0.6696  2 Sc 2.95-3.28, 1 La 3.29
Nd7 0.2426 0.7574 0.3304  2 Sc 2.95-3.28, 1 La 3.29
Nd8 0.2426 0.7574 0.6696  2 Sc 2.95-3.28, 1 La 3.29
Nd9 0.2330 0.7670 0.0000  1 La 3.06, 2 Sc 3.16
Nd10 0.2670 0.2670 0.5000  1 La 3.06, 2 Sc 3.16
Nd11 0.2574 0.2574 0.1696  2 Sc 2.95-3.28, 1 La 3.29
Nd12 0.2574 0.2574 0.8304  2 Sc 2.95-3.28, 1 La 3.29
Sc1 0.5000 0.5000 0.3376  6 Nd 2.95-3.28
Sc2 0.5000 0.5000 0.6624  6 Nd 2.95-3.28
Sc3 0.0000 0.0000 0.1624  6 Nd 2.95-3.28
Sc4 0.0000 0.0000 0.8376  6 Nd 2.95-3.28


Entry b
LaNd6Sc2: relaxed, PBE.

## Properties
* total magnetization: 0.000 Bohr magnetons per cell
* space-group type: C2/m, No. 12

abc: 10.0293 10.0293 3.6530
angles: 94.29 94.29 125.57
With the nearest neighbours (Å) after each atom.
Positions (direct):
La1 0.0000 0.0000 0.0000  4 Nd 3.45-3.63, 4 Sc 3.47, 2 La 3.65
Nd1 0.8448 0.5023 0.8132  7 Nd 3.33-3.66, 3 Sc 3.38-3.58
Nd2 0.1552 0.4977 0.1868  7 Nd 3.33-3.66, 3 Sc 3.38-3.58
Nd3 0.3349 0.3349 0.6867  2 La 3.45-3.63, 8 Nd 3.49-3.65
Nd4 0.5023 0.8448 0.8132  7 Nd 3.33-3.66, 3 Sc 3.38-3.58
Nd5 0.4977 0.1552 0.1868  7 Nd 3.33-3.66, 3 Sc 3.38-3.58
Nd6 0.6651 0.6651 0.3133  2 La 3.45-3.63, 8 Nd 3.49-3.65
Sc1 0.8343 0.1657 0.5000  6 Nd 3.38-3.58, 2 La 3.47, 2 Sc 3.65
Sc2 0.1657 0.8343 0.5000  6 Nd 3.38-3.58, 2 La 3.47, 2 Sc 3.65


According to the calculations, the structures order from most to least stable as entry b, entry a.


Entry a
LaNd2Sc: relaxed, PBE.

## Properties
* total magnetization: 0.000 Bohr magnetons per cell
* space-group type: R3m, No. 160

abc: 3.5951 3.5951 11.8957
angles: 81.31 81.31 60.00
With the nearest neighbours (Å) after each atom.
Positions (direct):
La1 0.4995 0.4995 0.5014  6 La 3.60, 6 Nd 3.73-3.77
Nd1 0.0779 0.0779 0.7663  3 Sc 3.44, 6 Nd 3.60, 3 La 3.73
Nd2 0.2559 0.2559 0.2323  3 Sc 3.42, 6 Nd 3.60, 3 La 3.77
Sc1 0.6667 0.6667 0.0000  6 Nd 3.42-3.44, 6 Sc 3.60


Entry b
LaNd2Sc: relaxed, PBE.

## Properties
* total magnetization: 0.000 Bohr magnetons per cell
* space-group type: P2_1/m, No. 11

abc: 3.3727 5.9645 17.5535
angles: 48.84 90.00 90.00
With the nearest neighbours (Å) after each atom.
Positions (direct):
La1 0.2500 0.8898 0.6651  4 Sc 3.31-3.40, 2 La 3.37, 2 Nd 3.44-3.61
La2 0.7500 0.1102 0.3349  4 Sc 3.31-3.40, 2 La 3.37, 2 Nd 3.44-3.61
Nd1 0.7500 0.8689 0.1926  1 Sc 3.34, 6 Nd 3.37-3.66, 2 La 3.44-3.61
Nd2 0.2500 0.3529 0.9472  10 Nd 3.37-3.71, 1 La 3.73
Nd3 0.7500 0.6471 0.0528  10 Nd 3.37-3.71, 1 La 3.73
Nd4 0.2500 0.1311 0.8074  1 Sc 3.34, 6 Nd 3.37-3.66, 2 La 3.44-3.61
Sc1 0.2500 0.6046 0.5551  4 La 3.31-3.40, 1 Nd 3.34, 4 Sc 3.36-3.37
Sc2 0.7500 0.3954 0.4449  4 La 3.31-3.40, 1 Nd 3.34, 4 Sc 3.36-3.37


Entry c
LaNd2Sc: relaxed, PBE.

## Properties
* total magnetization: 0.000 Bohr magnetons per cell
* space-group type: P4/mmm, No. 123

abc: 3.6329 3.6329 9.9584
angles: 90.00 90.00 90.00
With the nearest neighbours (Å) after each atom.
Positions (direct):
Sc1 0.5000 0.5000 0.0000  8 Nd 3.45, 4 Sc 3.63
Nd1 0.0000 0.0000 0.7688  4 Sc 3.45, 4 Nd 3.63, 4 La 3.71
Nd2 0.0000 0.0000 0.2312  4 Sc 3.45, 4 Nd 3.63, 4 La 3.71
La1 0.5000 0.5000 0.5000  4 La 3.63, 8 Nd 3.71


Entry d
LaNd2Sc: relaxed, PBE.

## Properties
* total magnetization: 0.000 Bohr magnetons per cell
* space-group type: P4/mmm, No. 123

abc: 5.0994 5.0542 5.0542
angles: 90.00 90.00 90.00
With the nearest neighbours (Å) after each atom.
Positions (direct):
Sc1 0.5000 0.0000 0.0000  4 La 3.57, 8 Nd 3.59
Nd1 0.0000 0.0000 0.5000  4 Nd 3.57, 4 La 3.59, 4 Sc 3.59
Nd2 0.0000 0.5000 0.0000  4 Nd 3.57, 4 La 3.59, 4 Sc 3.59
La1 0.5000 0.5000 0.5000  4 Sc 3.57, 8 Nd 3.59


According to the calculations, the structures order from most to least stable as entry d, entry c, entry a, entry b.